Record 1
Crystalline La4Pm3SmSe8 at its relaxed geometry. Source: Alexandria via LeMat-Bulk, functional GGA-PBE.

abc: 8.502 8.502 8.502
angles: 60.03 60.03 60.03
Fractional positions:
La1 0.000 0.000 0.000
La2 0.000 0.500 0.500
La3 0.500 0.000 0.500
La4 0.500 0.500 0.000
Pm1 0.000 0.000 0.500
Pm2 0.000 0.500 0.000
Pm3 0.500 0.000 0.000
Sm1 0.500 0.500 0.500
Se1 0.247 0.247 0.247
Se2 0.248 0.747 0.747
Se3 0.253 0.253 0.752
Se4 0.253 0.752 0.253
Se5 0.747 0.248 0.747
Se6 0.747 0.747 0.248
Se7 0.752 0.253 0.253
Se8 0.753 0.753 0.753

- SG = R-3m (166)
- V (Å³/f.u.) = 435
- E_form (uncorrected) (meV per atom) = -1917

Record 2
Crystalline SrLaPm4Se8 at its relaxed geometry. Source: Alexandria via LeMat-Bulk, functional GGA-PBE.

abc: 8.802 8.802 8.802
angles: 59.37 59.37 59.37
Fractional positions:
Sr1 0.000 0.000 0.000
La1 0.628 0.628 0.628
Pm1 0.121 0.628 0.628
Pm2 0.252 0.252 0.252
Pm3 0.628 0.121 0.628
Pm4 0.628 0.628 0.121
Se1 0.381 0.381 0.854
Se2 0.381 0.854 0.381
Se3 0.384 0.384 0.384
Se4 0.412 0.867 0.867
Se5 0.854 0.381 0.381
Se6 0.864 0.864 0.864
Se7 0.867 0.412 0.867
Se8 0.867 0.867 0.412

- SG = R3m (160)
- V (Å³/f.u.) = 475
- E_form (uncorrected) (meV per atom) = -1827

Record 3
Crystalline SrLa2Pm3Se6 at its relaxed geometry. Source: Alexandria via LeMat-Bulk, functional GGA-PBE.

abc: 7.396 7.396 7.398
angles: 99.57 99.57 120.08
Fractional positions:
Sr1 0.000 0.000 0.000
La1 0.334 0.666 0.000
La2 0.666 0.334 0.000
Pm1 0.165 0.835 0.500
Pm2 0.500 0.500 0.500
Pm3 0.835 0.165 0.500
Se1 0.086 0.420 0.259
Se2 0.248 0.248 0.744
Se3 0.420 0.086 0.259
Se4 0.580 0.914 0.741
Se5 0.752 0.752 0.256
Se6 0.914 0.580 0.741

- SG = C2/m (12)
- V (Å³/f.u.) = 330
- E_form (uncorrected) (meV per atom) = -1913

Record 4
Crystalline SrLa2PmSe4 at its relaxed geometry. Source: Alexandria via LeMat-Bulk, functional GGA-PBE.

abc: 7.461 4.290 7.478
angles: 90.00 109.20 90.00
Fractional positions:
Sr1 0.000 0.000 0.000
La1 0.500 0.000 0.500
La2 0.500 0.500 0.000
Pm1 0.000 0.500 0.500
Se1 0.245 0.000 0.745
Se2 0.249 0.500 0.254
Se3 0.751 0.500 0.746
Se4 0.755 0.000 0.255

- SG = P2/m (10)
- V (Å³/f.u.) = 226
- E_form (uncorrected) (meV per atom) = -1944

Record 5
Crystalline La3Tb4PmSe8 at its relaxed geometry. Source: Alexandria via LeMat-Bulk, functional GGA-PBE.

abc: 8.425 8.425 8.425
angles: 59.32 59.32 59.32
Fractional positions:
La1 0.000 0.500 0.500
La2 0.500 0.000 0.500
La3 0.500 0.500 0.000
Tb1 0.000 0.000 0.500
Tb2 0.000 0.500 0.000
Tb3 0.500 0.000 0.000
Tb4 0.500 0.500 0.500
Pm1 0.000 0.000 0.000
Se1 0.242 0.747 0.747
Se2 0.244 0.244 0.244
Se3 0.253 0.253 0.758
Se4 0.253 0.758 0.253
Se5 0.747 0.242 0.747
Se6 0.747 0.747 0.242
Se7 0.756 0.756 0.756
Se8 0.758 0.253 0.253

- SG = R-3m (166)
- V (Å³/f.u.) = 416
- E_form (uncorrected) (meV per atom) = -1867

Record 6
Crystalline La4Tb3PmSe8 at its relaxed geometry. Source: Alexandria via LeMat-Bulk, functional GGA-PBE.

abc: 8.457 8.457 8.457
angles: 59.66 59.66 59.66
Fractional positions:
La1 0.000 0.000 0.000
La2 0.000 0.500 0.500
La3 0.500 0.000 0.500
La4 0.500 0.500 0.000
Tb1 0.000 0.000 0.500
Tb2 0.000 0.500 0.000
Tb3 0.500 0.000 0.000
Pm1 0.500 0.500 0.500
Se1 0.241 0.747 0.747
Se2 0.244 0.244 0.244
Se3 0.253 0.253 0.759
Se4 0.253 0.759 0.253
Se5 0.747 0.241 0.747
Se6 0.747 0.747 0.241
Se7 0.756 0.756 0.756
Se8 0.759 0.253 0.253

- SG = R-3m (166)
- V (Å³/f.u.) = 424
- E_form (uncorrected) (meV per atom) = -1896

Record 7
Crystalline La3TbPm2Se6 at its relaxed geometry. Source: Alexandria via LeMat-Bulk, functional GGA-PBE.

abc: 7.338 7.338 7.351
angles: 99.57 99.57 120.16
Fractional positions:
La1 0.000 0.000 0.000
La2 0.331 0.669 0.000
La3 0.669 0.331 0.000
Tb1 0.500 0.500 0.500
Pm1 0.167 0.833 0.500
Pm2 0.833 0.167 0.500
Se1 0.093 0.421 0.262
Se2 0.253 0.253 0.741
Se3 0.421 0.093 0.262
Se4 0.579 0.907 0.738
Se5 0.747 0.747 0.259
Se6 0.907 0.579 0.738

- SG = C2/m (12)
- V (Å³/f.u.) = 323
- E_form (uncorrected) (meV per atom) = -1914

Record 8
Crystalline La2TbPmSe6 at its relaxed geometry. Source: Alexandria via LeMat-Bulk, functional GGA-PBE.

abc: 7.866 7.866 7.866
angles: 56.96 56.96 56.96
Fractional positions:
La1 0.000 0.000 0.000
La2 0.499 0.499 0.499
Tb1 0.703 0.703 0.703
Pm1 0.205 0.205 0.205
Se1 0.082 0.417 0.817
Se2 0.320 0.908 0.590
Se3 0.417 0.817 0.082
Se4 0.590 0.320 0.908
Se5 0.817 0.082 0.417
Se6 0.908 0.590 0.320

- SG = R3 (146)
- V (Å³/f.u.) = 320
- E_form (uncorrected) (meV per atom) = -1916

Record 9
Crystalline LaTb3Pm2Se6 at its relaxed geometry. Source: Alexandria via LeMat-Bulk, functional GGA-PBE.

abc: 7.190 7.190 7.272
angles: 99.47 99.47 120.25
Fractional positions:
La1 0.000 0.000 0.000
Tb1 0.166 0.834 0.500
Tb2 0.500 0.500 0.500
Tb3 0.834 0.166 0.500
Pm1 0.332 0.668 0.000
Pm2 0.668 0.332 0.000
Se1 0.088 0.425 0.263
Se2 0.251 0.251 0.740
Se3 0.425 0.088 0.263
Se4 0.575 0.912 0.737
Se5 0.749 0.749 0.260
Se6 0.912 0.575 0.737

- SG = C2/m (12)
- V (Å³/f.u.) = 307
- E_form (uncorrected) (meV per atom) = -1836

Record 10
Crystalline LaPmTe2Se at its relaxed geometry. Source: Alexandria via LeMat-Bulk, functional GGA-PBE.

abc: 4.464 4.464 15.890
angles: 90.00 90.00 90.00
Fractional positions:
La1 0.250 0.250 0.131
La2 0.750 0.750 0.869
Pm1 0.250 0.250 0.594
Pm2 0.750 0.750 0.406
Te1 0.250 0.250 0.391
Te2 0.250 0.250 0.792
Te3 0.750 0.750 0.208
Te4 0.750 0.750 0.609
Se1 0.250 0.750 0.000
Se2 0.750 0.250 0.000

- SG = P4/nmm (129)
- V (Å³/f.u.) = 158
- E_form (uncorrected) (meV per atom) = -1528

Record 11
Crystalline LaPmTeSe2 at its relaxed geometry. Source: Alexandria via LeMat-Bulk, functional GGA-PBE.

abc: 8.033 8.033 8.033
angles: 145.80 145.80 49.15
Fractional positions:
La1 0.000 0.000 0.000
Pm1 0.725 0.725 0.000
Te1 0.366 0.366 0.000
Se1 0.117 0.617 0.500
Se2 0.617 0.117 0.500

- SG = I4mm (107)
- V (Å³/f.u.) = 163
- E_form (uncorrected) (meV per atom) = -1496

Record 12
Crystalline LaPm2Th3Se6 at its relaxed geometry. Source: Alexandria via LeMat-Bulk, functional GGA-PBE.

abc: 7.226 7.226 7.385
angles: 99.33 99.33 119.33
Fractional positions:
La1 0.000 0.000 0.000
Pm1 0.333 0.667 0.000
Pm2 0.667 0.333 0.000
Th1 0.164 0.836 0.500
Th2 0.500 0.500 0.500
Th3 0.836 0.164 0.500
Se1 0.083 0.421 0.250
Se2 0.256 0.256 0.754
Se3 0.421 0.083 0.250
Se4 0.579 0.917 0.750
Se5 0.744 0.744 0.246
Se6 0.917 0.579 0.750

- SG = C2/m (12)
- V (Å³/f.u.) = 318
- E_form (uncorrected) (meV per atom) = -1702

Record 13
Crystalline La3PmTh4Se8 at its relaxed geometry. Source: Alexandria via LeMat-Bulk, functional GGA-PBE.

abc: 8.555 8.555 8.555
angles: 58.87 58.87 58.87
Fractional positions:
La1 0.000 0.500 0.500
La2 0.500 0.000 0.500
La3 0.500 0.500 0.000
Pm1 0.000 0.000 0.000
Th1 0.000 0.000 0.500
Th2 0.000 0.500 0.000
Th3 0.500 0.000 0.000
Th4 0.500 0.500 0.500
Se1 0.246 0.752 0.752
Se2 0.248 0.248 0.754
Se3 0.248 0.754 0.248
Se4 0.249 0.249 0.249
Se5 0.751 0.751 0.751
Se6 0.752 0.246 0.752
Se7 0.752 0.752 0.246
Se8 0.754 0.248 0.248

- SG = R-3m (166)
- V (Å³/f.u.) = 431
- E_form (uncorrected) (meV per atom) = -1747

Record 14
Crystalline LaPm4Th3Se8 at its relaxed geometry. Source: Alexandria via LeMat-Bulk, functional GGA-PBE.

abc: 8.487 8.487 8.487
angles: 58.98 58.98 58.98
Fractional positions:
La1 0.000 0.000 0.000
Pm1 0.000 0.000 0.500
Pm2 0.000 0.500 0.000
Pm3 0.500 0.000 0.000
Pm4 0.500 0.500 0.500
Th1 0.000 0.500 0.500
Th2 0.500 0.000 0.500
Th3 0.500 0.500 0.000
Se1 0.249 0.249 0.249
Se2 0.251 0.747 0.747
Se3 0.253 0.253 0.749
Se4 0.253 0.749 0.253
Se5 0.747 0.251 0.747
Se6 0.747 0.747 0.251
Se7 0.749 0.253 0.253
Se8 0.751 0.751 0.751

- SG = R-3m (166)
- V (Å³/f.u.) = 422
- E_form (uncorrected) (meV per atom) = -1739

Record 15
Crystalline La4PmTh3Se8 at its relaxed geometry. Source: Alexandria via LeMat-Bulk, functional GGA-PBE.

abc: 8.523 8.523 8.523
angles: 59.78 59.78 59.78
Fractional positions:
La1 0.000 0.000 0.000
La2 0.000 0.500 0.500
La3 0.500 0.000 0.500
La4 0.500 0.500 0.000
Pm1 0.500 0.500 0.500
Th1 0.000 0.000 0.500
Th2 0.000 0.500 0.000
Th3 0.500 0.000 0.000
Se1 0.248 0.248 0.248
Se2 0.249 0.747 0.747
Se3 0.253 0.253 0.751
Se4 0.253 0.751 0.253
Se5 0.747 0.249 0.747
Se6 0.747 0.747 0.249
Se7 0.751 0.253 0.253
Se8 0.752 0.752 0.752

- SG = R-3m (166)
- V (Å³/f.u.) = 436
- E_form (uncorrected) (meV per atom) = -1807

Record 16
Crystalline LaPm2ThSe4 at its relaxed geometry. Source: Alexandria via LeMat-Bulk, functional GGA-PBE.

abc: 7.315 4.202 7.349
angles: 90.00 109.26 90.00
Fractional positions:
La1 0.000 0.000 0.000
Pm1 0.000 0.500 0.500
Pm2 0.500 0.000 0.500
Th1 0.500 0.500 0.000
Se1 0.251 0.000 0.746
Se2 0.255 0.500 0.256
Se3 0.745 0.500 0.744
Se4 0.749 0.000 0.254

- SG = P2/m (10)
- V (Å³/f.u.) = 213
- E_form (uncorrected) (meV per atom) = -1796

Record 17
Crystalline La2PmTl3Se6 at its relaxed geometry. Source: Alexandria via LeMat-Bulk, functional GGA-PBE.

abc: 7.591 7.591 8.119
angles: 98.96 98.96 119.99
Fractional positions:
La1 0.167 0.833 0.000
La2 0.833 0.167 0.000
Pm1 0.500 0.500 0.000
Tl1 0.000 0.000 0.500
Tl2 0.333 0.667 0.500
Tl3 0.667 0.333 0.500
Se1 0.102 0.430 0.790
Se2 0.243 0.243 0.212
Se3 0.430 0.102 0.790
Se4 0.570 0.898 0.210
Se5 0.757 0.757 0.788
Se6 0.898 0.570 0.210

- SG = C2/m (12)
- V (Å³/f.u.) = 385
- E_form (uncorrected) (meV per atom) = -1434

Record 18
Crystalline La3PmTl4Se8 at its relaxed geometry. Source: Alexandria via LeMat-Bulk, functional GGA-PBE.

abc: 8.786 8.786 9.231
angles: 118.42 118.42 60.00
Fractional positions:
La1 0.000 0.000 0.000
La2 0.000 0.500 0.000
La3 0.500 0.000 0.000
Pm1 0.500 0.500 0.000
Tl1 0.000 0.000 0.500
Tl2 0.000 0.500 0.500
Tl3 0.500 0.000 0.500
Tl4 0.500 0.500 0.500
Se1 0.238 0.238 0.212
Se2 0.242 0.735 0.211
Se3 0.265 0.758 0.789
Se4 0.266 0.266 0.790
Se5 0.734 0.734 0.210
Se6 0.735 0.242 0.211
Se7 0.758 0.265 0.789
Se8 0.762 0.762 0.788

- SG = C2/m (12)
- V (Å³/f.u.) = 516
- E_form (uncorrected) (meV per atom) = -1441

Record 19
Crystalline LaPm2Tl3Se6 at its relaxed geometry. Source: Alexandria via LeMat-Bulk, functional GGA-PBE.

abc: 7.514 7.514 8.133
angles: 98.86 98.86 119.98
Fractional positions:
La1 0.000 0.000 0.000
Pm1 0.333 0.667 0.000
Pm2 0.667 0.333 0.000
Tl1 0.166 0.834 0.500
Tl2 0.500 0.500 0.500
Tl3 0.834 0.166 0.500
Se1 0.070 0.409 0.211
Se2 0.269 0.269 0.791
Se3 0.409 0.070 0.211
Se4 0.591 0.930 0.789
Se5 0.731 0.731 0.209
Se6 0.930 0.591 0.789

- SG = C2/m (12)
- V (Å³/f.u.) = 378
- E_form (uncorrected) (meV per atom) = -1409

Record 20
Crystalline LaPmTm2Se4 at its relaxed geometry. Source: Alexandria via LeMat-Bulk, functional GGA-PBE.

abc: 7.049 4.051 7.390
angles: 90.00 108.42 90.00
Fractional positions:
La1 0.000 0.000 0.000
Pm1 0.500 0.500 0.000
Tm1 0.000 0.500 0.500
Tm2 0.500 0.000 0.500
Se1 0.246 0.000 0.730
Se2 0.261 0.500 0.273
Se3 0.739 0.500 0.727
Se4 0.754 0.000 0.270

- SG = P2/m (10)
- V (Å³/f.u.) = 200
- E_form (uncorrected) (meV per atom) = -1799

Total DFT energy (no corrections)? In order: -97.2, -79.1, -69.7, -45.8, -95.8, -96.6, -72.8, -59.3, -71.3, -54.2, -27.3, -78.0, -105.0, -101.9, -103.5, -50.2, -59.8, -79.9, -59.3, -46.9 eV for the cell shown.